Record 1
SrTmCd17: relaxed, PBE.

Unit cell a=10.1318 b=10.1318 c=15.1481 alpha=90.00 beta=90.00 gamma=120.00
Space group R3m (No. 160, hexagonal axes)
Unique sites:
Sr1 0.0000 0.0000 0.0000
Tm1 0.0000 0.0000 0.3399
Cd1 0.0000 0.0000 0.5588
Cd2 0.0000 0.0000 0.7548
Cd3 0.0352 0.3651 0.3326
Cd4 0.1772 0.3543 0.1408
Cd5 0.1825 0.3649 0.5054
Cd6 0.1968 0.3935 0.8512

Properties
E_form: -2.262 eV/f.u.
density of states at the Fermi level: 22.086 states/eV/cell
electronic total energy: -1.26 eV/atom

***

Record 2
SrTm5Cd6: relaxed, PBE.

Unit cell a=5.2889 b=7.5217 c=15.8536 alpha=90.00 beta=90.00 gamma=90.00
Space group Immm (No. 71)
Unique sites:
Sr1 0.0000 0.0000 0.0000
Tm1 0.0000 0.0000 0.3316
Tm2 0.0000 0.5000 0.0000
Tm3 0.0000 0.5000 0.3367
Cd1 0.0000 0.2288 0.5000
Cd2 0.0000 0.2606 0.1722

Properties
E_form: -3.452 eV/f.u.
density of states at the Fermi level: 17.487 states/eV/cell
electronic total energy: -2.75 eV/atom